# 1
Here is crystalline BaMgMo2 at its relaxed geometry from Alexandria. Energies are from PBE.

Cell: 3.340 3.331 8.608 Å, 90.00 92.00 90.00°
Element x y z (fractional)
Ba (0.000, 0.000, 0.000)
Mg (0.481, 0.500, 0.654)
Mo (0.505, 0.500, 0.307)
Mo (0.960, 0.000, 0.444)

Formation energy   0.452 eV/atom
Symmetry   No. 6


# 2
Here is crystalline BaMgMo2 at its relaxed geometry from Alexandria. Energies are from PBE.

Cell: 5.744 5.744 5.744 Å, 137.08 137.08 62.31°
Element x y z (fractional)
Ba (0.000, 0.000, 0.000)
Mg (0.500, 0.500, 0.000)
Mo (0.250, 0.750, 0.500)
Mo (0.750, 0.250, 0.500)

Formation energy   1.266 eV/atom
Symmetry   No. 139


# 3
Here is crystalline BaMgMo2 at its relaxed geometry from Alexandria. Energies are from PBE.

Cell: 2.878 2.878 10.330 Å, 90.00 90.00 90.28°
Element x y z (fractional)
Ba (0.000, 0.000, 0.000)
Mg (0.000, 0.000, 0.500)
Mo (0.500, 0.500, 0.287)
Mo (0.500, 0.500, 0.713)

Formation energy   1.010 eV/atom
Symmetry   No. 65


# 4
Here is crystalline BaMgMo2 at its relaxed geometry from Alexandria. Energies are from PBE.

Cell: 3.104 3.104 10.396 Å, 90.00 90.00 113.92°
Element x y z (fractional)
Ba (0.000, 0.000, 0.000)
Mg (0.500, 0.500, 0.684)
Mo (0.000, 0.000, 0.456)
Mo (0.500, 0.500, 0.282)

Formation energy   0.660 eV/atom
Symmetry   No. 35


# 5
Here is crystalline BaMgMo2 at its relaxed geometry from Alexandria. Energies are from PBE.

Cell: 3.359 4.918 5.128 Å, 90.00 90.00 90.00°
Element x y z (fractional)
Ba (0.000, 0.000, 0.000)
Mg (0.500, 0.500, 0.000)
Mo (0.000, 0.500, 0.500)
Mo (0.500, 0.000, 0.500)

Formation energy   1.183 eV/atom
Symmetry   No. 47


# 6
Here is crystalline BaMgMo2 at its relaxed geometry from Alexandria. Energies are from PBE.

Cell: 4.987 4.987 4.987 Å, 60.00 60.00 60.00°
Element x y z (fractional)
Ba (0.000, 0.000, 0.000)
Mg (0.250, 0.250, 0.250)
Mo (0.500, 0.500, 0.500)
Mo (0.750, 0.750, 0.750)

Formation energy   1.060 eV/atom
Symmetry   No. 216


# 7
Here is crystalline BaMg14Mo at its relaxed geometry from Alexandria. Energies are from PBE.

Cell: 6.519 6.519 10.456 Å, 90.00 90.00 120.00°
Element x y z (fractional)
Ba (0.000, 0.000, 0.000)
Mg (0.016, 0.508, 0.000)
Mg (0.164, 0.328, 0.278)
Mg (0.164, 0.328, 0.722)
Mg (0.164, 0.836, 0.278)
Mg (0.164, 0.836, 0.722)
Mg (0.492, 0.508, 0.000)
Mg (0.492, 0.984, 0.000)
Mg (0.506, 0.011, 0.500)
Mg (0.506, 0.494, 0.500)
Mg (0.667, 0.333, 0.237)
Mg (0.667, 0.333, 0.763)
Mg (0.672, 0.836, 0.278)
Mg (0.672, 0.836, 0.722)
Mg (0.989, 0.494, 0.500)
Mo (0.000, 0.000, 0.500)

Formation energy   0.188 eV/atom
Symmetry   No. 187


# 8
Here is crystalline BaMgMo2 at its relaxed geometry from Alexandria. Energies are from PBE.

Cell: 4.504 4.504 7.663 Å, 95.36 95.36 41.27°
Element x y z (fractional)
Ba (0.000, 0.000, 0.000)
Mg (0.763, 0.763, 0.367)
Mo (0.230, 0.230, 0.688)
Mo (0.502, 0.502, 0.568)

Formation energy   0.689 eV/atom
Symmetry   No. 8


# 9
Here is crystalline BaMgMo2 at its relaxed geometry from Alexandria. Energies are from PBE.

Cell: 6.479 6.479 6.479 Å, 100.18 100.18 130.28°
Element x y z (fractional)
Ba (0.000, 0.000, 0.000)
Ba (0.750, 0.250, 0.500)
Mg (0.250, 0.750, 0.500)
Mg (0.500, 0.500, 0.000)
Mo (0.166, 0.625, 0.041)
Mo (0.375, 0.416, 0.541)
Mo (0.584, 0.125, 0.959)
Mo (0.875, 0.834, 0.459)

Formation energy   1.551 eV/atom
Symmetry   No. 122


# 10
Here is crystalline BaMg14Mo at its relaxed geometry from Alexandria. Energies are from PBE.

Cell: 10.619 6.520 6.520 Å, 58.18 90.00 90.00°
Element x y z (fractional)
Ba (0.000, 0.000, 0.000)
Mg (0.000, 0.497, 0.987)
Mg (0.000, 0.987, 0.497)
Mg (0.225, 0.623, 0.623)
Mg (0.251, 0.141, 0.624)
Mg (0.251, 0.624, 0.141)
Mg (0.276, 0.141, 0.141)
Mg (0.500, 0.468, 0.468)
Mg (0.500, 0.479, 0.962)
Mg (0.500, 0.962, 0.479)
Mg (0.500, 0.966, 0.966)
Mg (0.724, 0.141, 0.141)
Mg (0.749, 0.141, 0.624)
Mg (0.749, 0.624, 0.141)
Mg (0.775, 0.623, 0.623)
Mo (0.000, 0.457, 0.457)

Formation energy   0.188 eV/atom
Symmetry   No. 38


# 11
Here is crystalline BaMgMo2 at its relaxed geometry from Alexandria. Energies are from PBE.

Cell: 11.173 11.173 11.173 Å, 15.41 15.41 15.41°
Element x y z (fractional)
Ba (0.000, 0.000, 0.000)
Mg (0.500, 0.500, 0.500)
Mo (0.240, 0.240, 0.240)
Mo (0.760, 0.760, 0.760)

Formation energy   1.161 eV/atom
Symmetry   No. 166


# 12
Here is crystalline Ba2MgMoN4 at its relaxed geometry from Alexandria. Energies are from PBE.

Cell: 11.769 10.472 6.477 Å, 84.46 62.33 33.21°
Element x y z (fractional)
Ba (0.051, 0.051, 0.699)
Ba (0.301, 0.301, 0.949)
Ba (0.699, 0.699, 0.051)
Ba (0.949, 0.949, 0.301)
Mg (0.125, 0.125, 0.125)
Mg (0.875, 0.875, 0.875)
Mo (0.375, 0.375, 0.375)
Mo (0.625, 0.625, 0.625)
N (0.004, 0.649, 0.557)
N (0.290, 0.557, 0.649)
N (0.351, 0.996, 0.710)
N (0.443, 0.710, 0.996)
N (0.557, 0.290, 0.004)
N (0.649, 0.004, 0.290)
N (0.710, 0.443, 0.351)
N (0.996, 0.351, 0.443)

Symmetry   No. 70


# 13
Here is crystalline BaMgMoN2 at its relaxed geometry from Alexandria. Energies are from PBE.

Cell: 4.538 4.538 5.721 Å, 90.00 90.00 90.00°
Element x y z (fractional)
Ba (0.000, 0.000, 0.000)
Mg (0.000, 0.000, 0.500)
Mo (0.500, 0.500, 0.500)
N (0.000, 0.500, 0.000)
N (0.500, 0.000, 0.000)

Symmetry   No. 123


# 14
Here is crystalline BaMg2MoN4 at its relaxed geometry from Alexandria. Energies are from PBE.

Cell: 5.524 5.524 5.524 Å, 119.13 119.13 91.51°
Element x y z (fractional)
Ba (0.000, 0.000, 0.000)
Mg (0.250, 0.750, 0.500)
Mg (0.750, 0.250, 0.500)
Mo (0.500, 0.500, 0.000)
N (0.162, 0.544, 0.000)
N (0.456, 0.456, 0.618)
N (0.544, 0.162, 0.000)
N (0.838, 0.838, 0.382)

Symmetry   No. 121


# 15
Here is crystalline Ba2MgMoP at its relaxed geometry from Alexandria. Energies are from PBE.

Cell: 6.499 6.499 4.646 Å, 90.00 90.00 90.00°
Element x y z (fractional)
Ba (0.000, 0.500, 0.000)
Ba (0.500, 0.000, 0.000)
Mg (0.000, 0.000, 0.000)
Mo (0.500, 0.500, 0.500)
P (0.000, 0.000, 0.500)

Formation energy   0.871 eV/atom
Symmetry   No. 123


# 16
Here is crystalline BaSr2MgMo at its relaxed geometry from Alexandria. Energies are from PBE.

Cell: 6.343 6.343 5.442 Å, 90.00 90.00 90.00°
Element x y z (fractional)
Ba (0.000, 0.000, 0.000)
Sr (0.000, 0.500, 0.500)
Sr (0.500, 0.000, 0.500)
Mg (0.500, 0.500, 0.500)
Mo (0.500, 0.500, 0.000)

Formation energy   0.853 eV/atom
Symmetry   No. 123


# 17
Here is crystalline BaMgTi2Mo at its relaxed geometry from Alexandria. Energies are from PBE.

Cell: 4.838 4.838 5.557 Å, 90.00 90.00 90.00°
Element x y z (fractional)
Ba (0.000, 0.000, 0.000)
Mg (0.500, 0.500, 0.000)
Ti (0.000, 0.500, 0.500)
Ti (0.500, 0.000, 0.500)
Mo (0.500, 0.500, 0.500)

Formation energy   0.484 eV/atom
Symmetry   No. 123


# 18
Here is crystalline Ba2MgZrMo at its relaxed geometry from Alexandria. Energies are from PBE.

Cell: 5.889 5.889 5.484 Å, 90.00 90.00 90.00°
Element x y z (fractional)
Ba (0.000, 0.500, 0.000)
Ba (0.500, 0.000, 0.000)
Mg (0.000, 0.000, 0.500)
Zr (0.000, 0.000, 0.000)
Mo (0.500, 0.500, 0.500)

Formation energy   1.929 eV/atom
Symmetry   No. 123


# 19
Here is crystalline BaMgN2 at its relaxed geometry from Alexandria. Energies are from PBE.

Cell: 7.262 7.262 7.262 Å, 141.92 141.92 54.95°
Element x y z (fractional)
Ba (0.000, 0.000, 0.000)
Ba (0.750, 0.250, 0.500)
Mg (0.250, 0.750, 0.500)
Mg (0.500, 0.500, 0.000)
N (0.311, 0.625, 0.186)
N (0.375, 0.561, 0.686)
N (0.439, 0.125, 0.814)
N (0.875, 0.689, 0.314)

Symmetry   No. 122


# 20
Here is crystalline Ba2MgNbN4 at its relaxed geometry from Alexandria. Energies are from PBE.

Cell: 6.202 7.553 6.486 Å, 90.00 90.00 90.00°
Element x y z (fractional)
Ba (0.250, 0.000, 0.245)
Ba (0.250, 0.500, 0.245)
Ba (0.750, 0.000, 0.755)
Ba (0.750, 0.500, 0.755)
Mg (0.250, 0.250, 0.799)
Mg (0.750, 0.750, 0.201)
Nb (0.250, 0.750, 0.805)
Nb (0.750, 0.250, 0.195)
N (0.004, 0.750, 0.990)
N (0.250, 0.514, 0.664)
N (0.250, 0.986, 0.664)
N (0.496, 0.750, 0.990)
N (0.504, 0.250, 0.010)
N (0.750, 0.014, 0.336)
N (0.750, 0.486, 0.336)
N (0.996, 0.250, 0.010)

Symmetry   No. 59


# 21
Here is crystalline BaMg2NbN4 at its relaxed geometry from Alexandria. Energies are from PBE.

Cell: 7.707 5.911 5.743 Å, 90.00 90.00 90.00°
Element x y z (fractional)
Ba (0.000, 0.200, 0.000)
Ba (0.500, 0.800, 0.500)
Mg (0.248, 0.327, 0.509)
Mg (0.252, 0.673, 0.009)
Mg (0.748, 0.673, 0.009)
Mg (0.752, 0.327, 0.509)
Nb (0.000, 0.798, 0.515)
Nb (0.500, 0.202, 0.015)
N (0.000, 0.135, 0.481)
N (0.000, 0.751, 0.854)
N (0.198, 0.649, 0.366)
N (0.302, 0.351, 0.866)
N (0.500, 0.249, 0.354)
N (0.500, 0.865, 0.981)
N (0.698, 0.351, 0.866)
N (0.802, 0.649, 0.366)

Symmetry   No. 31


# 22
Here is crystalline BaMgNO2 at its relaxed geometry from Alexandria. Energies are from PBE.

Cell: 4.179 4.179 4.232 Å, 90.00 90.00 90.00°
Element x y z (fractional)
Ba (0.000, 0.000, 0.000)
Mg (0.500, 0.500, 0.500)
N (0.500, 0.500, 0.000)
O (0.000, 0.500, 0.500)
O (0.500, 0.000, 0.500)

Symmetry   No. 123


# 23
Here is crystalline BaMgN2O at its relaxed geometry from Alexandria. Energies are from PBE.

Cell: 4.626 4.626 4.479 Å, 90.00 90.00 90.00°
Element x y z (fractional)
Ba (0.000, 0.000, 0.000)
Mg (0.500, 0.500, 0.500)
N (0.000, 0.500, 0.000)
N (0.500, 0.000, 0.000)
O (0.000, 0.000, 0.500)

Symmetry   No. 123


# 24
Here is crystalline BaMgN2O at its relaxed geometry from Alexandria. Energies are from PBE.

Cell: 4.304 4.304 4.149 Å, 90.00 90.00 90.00°
Element x y z (fractional)
Ba (0.000, 0.000, 0.000)
Mg (0.500, 0.500, 0.500)
N (0.000, 0.500, 0.500)
N (0.500, 0.000, 0.500)
O (0.500, 0.500, 0.000)

Symmetry   No. 123


# 25
Here is crystalline BaMgNO2 at its relaxed geometry from Alexandria. Energies are from PBE.

Cell: 4.464 4.464 4.725 Å, 90.00 90.00 90.00°
Element x y z (fractional)
Ba (0.000, 0.000, 0.000)
Mg (0.500, 0.500, 0.500)
N (0.000, 0.000, 0.500)
O (0.000, 0.500, 0.000)
O (0.500, 0.000, 0.000)

Symmetry   No. 123


Uncorrected energy (computed, eV/cell): -23.37 -20.11 -21.14 -22.54 -20.45 -20.94 -32.08 -22.42 -37.95 -32.08 -20.54 -107.91 -17.96 -55.04 -17.33 -13.45 -27.72 -15.18 -39.92 -109.21 -108.01 -26.94 -19.03 -25.94 -19.82